Density functional theory data (GGA+U) for a relaxed BaMnIrO6 crystal.

Values from the calculation:
The total moment is 0.0 μB/cell. Its total energy is -60.99 eV for the cell shown. The theoretical density comes out at 5.88 g/cm3.

abc: 5.2004 5.2004 5.7957
angles: 90.00 90.00 120.00
Last column: nearest neighbours and their distance in Å.
Atoms (fractional coordinates):
Ba  0.0000  0.0000  0.0000  6 O 2.70
Mn  0.3333  0.6667  0.5000  6 O 1.93
Ir  0.6667  0.3333  0.5000  6 O 1.96
O  0.0032  0.3841  0.6855  1 Mn 1.93, 1 Ir 1.96
O  0.0032  0.6191  0.3145  1 Mn 1.93, 1 Ir 1.96
O  0.3809  0.3841  0.3145  1 Mn 1.93, 1 Ir 1.96
O  0.3809  0.9968  0.6855  1 Mn 1.93, 1 Ir 1.96
O  0.6159  0.6191  0.6855  1 Mn 1.93, 1 Ir 1.96
O  0.6159  0.9968  0.3145  1 Mn 1.93, 1 Ir 1.96